{"formula": "KSn2Cl", "functional": "SCAN", "state": "single point on PBEsol structure", "formation_energy_uncorrected_ev_per_fu": 0.60, "lattice": [[5.440, 0.000, 0.000], [2.720, 4.711, 0.000], [2.720, 1.570, 4.442]], "species": ["K", "Sn", "Sn", "Cl"], "frac_coords": [[0.500, 0.500, 0.500], [0.250, 0.250, 0.250], [0.750, 0.750, 0.750], [0.000, 0.000, 0.000]]}